VAs2HSe | Alexandria via LeMat-Bulk | PBE-GGA | relaxed; total moment = 0.00 μB/atom; total energy = -4.4743 eV per atom; ΔE to the lowest computed polymorph = 12.7 meV per atom; N(E_F) = 6.04 states/eV/cell
1.0
-1.9620 3.1672 -1.0030
-3.2525 -1.5937 1.3297
0.9022 2.0273 4.6369
As Se V H
2 1 1 1
direct
0.0000 0.5000 0.0000
0.5000 0.0000 0.0000
0.0000 0.0000 0.5000
0.5000 0.5000 0.5000
0.0000 0.0000 0.0000